No. 1
The following is a DFT calculation (PBE) of Ba8AgPtAu2 after structural relaxation.

Summary:
ΔH_f (0 K) = -0.46 eV/atom
E_tot = -3.031 eV/atom
size of the total moment = 0.00 μB/cell

a b c (Å): 7.922 7.647 9.718
angles (deg): 90.00 90.00 89.87
Sites, in units of the cell vectors:
Ba: 0.171 0.773 0.235
Ba: 0.683 0.739 0.000
Ba: 0.829 0.227 0.235
Ba: 0.829 0.227 0.765
Ba: 0.317 0.261 0.000
Ba: 0.171 0.773 0.765
Ba: 0.667 0.727 0.500
Ba: 0.333 0.273 0.500
Ag: 0.000 0.000 0.500
Pt: 0.000 0.000 0.000
Au: 0.500 0.500 0.754
Au: 0.500 0.500 0.246

---

No. 2
The following is a DFT calculation (PBE) of Ba6AgPtAu after structural relaxation.

Summary:
ΔH_f (0 K) = -0.45 eV/atom
E_tot = -3.085 eV/atom
size of the total moment = 0.00 μB/cell

a b c (Å): 8.143 8.143 15.231
angles (deg): 90.00 90.00 120.00
Sites, in units of the cell vectors:
Ba: 0.664 0.652 0.131
Ba: 0.988 0.336 0.131
Ba: 0.336 0.988 0.631
Ba: 0.012 0.664 0.869
Ba: 0.348 0.336 0.369
Ba: 0.988 0.652 0.369
Ba: 0.652 0.988 0.869
Ba: 0.664 0.012 0.369
Ba: 0.012 0.348 0.631
Ba: 0.348 0.012 0.131
Ba: 0.652 0.664 0.631
Ba: 0.336 0.348 0.869
Ag: 0.000 0.000 0.000
Ag: 0.000 0.000 0.500
Pt: 0.667 0.333 0.250
Pt: 0.333 0.667 0.750
Au: 0.333 0.667 0.250
Au: 0.667 0.333 0.750